No. 1
Entry from Alexandria: an optimized crystal structure of KBaCd2 (PBEsol).

## Properties
The calculation puts the density of states at the Fermi level at 3.68 states/eV/cell. The formation energy comes out at -89 meV per atom. For the spin magnetization, the calculation gives 0.0 μB per formula unit. For the energy above the most stable polymorph in this dataset, the calculation gives 22 meV per atom.

Lattice parameters (Å, degrees): 4.1163 4.1163 8.5365 90.00 90.00 90.00
Last column: nearest neighbours and their distance in Å.
Atoms (fractional coordinates):
1 Cd 0.0000 0.0000 0.7672  4 Ba 3.52, 4 K 3.70
2 K 0.5000 0.5000 0.5000  8 Cd 3.70, 4 K 4.12
3 Cd 0.0000 0.0000 0.2328  4 Ba 3.52, 4 K 3.70
4 Ba 0.5000 0.5000 0.0000  8 Cd 3.52



No. 2
Entry from Alexandria: an optimized crystal structure of KBa2Cd (PBEsol).

## Properties
The calculation puts the density of states at the Fermi level at 5.60 states/eV/cell. The formation energy comes out at 91 meV per atom. For the spin magnetization, the calculation gives 0.6 μB per formula unit.

Lattice parameters (Å, degrees): 5.3536 5.3536 7.2953 111.53 111.53 90.00
Last column: nearest neighbours and their distance in Å.
Atoms (fractional coordinates):
1 K 0.2500 0.7500 0.5000  8 Ba 3.79-4.11, 4 Cd 4.11
2 Ba 0.0000 0.0000 0.0000  4 Cd 3.79, 4 Ba 4.11, 4 K 4.11
3 Ba 0.7500 0.2500 0.5000  4 K 3.79, 4 Cd 4.11, 4 Ba 4.11
4 Cd 0.5000 0.5000 0.0000  8 Ba 3.79-4.11, 4 K 4.11



No. 3
Entry from Alexandria: an optimized crystal structure of KBa2Cd (PBEsol).

## Properties
The calculation puts the density of states at the Fermi level at 3.24 states/eV/cell. The formation energy comes out at -141 meV per atom. For the spin magnetization, the calculation gives 0.0 μB per formula unit.

Lattice parameters (Å, degrees): 4.2119 4.2119 11.0593 90.00 90.02 90.00
Last column: nearest neighbours and their distance in Å.
Atoms (fractional coordinates):
1 K 0.5000 0.5000 0.5000  4 K 4.21, 8 Ba 4.66
2 Ba 0.9997 0.0000 0.8240  4 Cd 3.56, 1 Ba 3.89
3 Cd 0.5000 0.5000 0.0000  8 Ba 3.56
4 Ba 0.0003 0.0000 0.1760  4 Cd 3.56, 1 Ba 3.89